# 1
First-principles (PBE) data for an optimized crystal structure of Tb2ThPa, as listed in the Alexandria database.

Cell: 3.409 3.409 10.291 Å, 90.00 90.00 90.00°
Fractional positions:
Tb: 0.000 0.000 0.767
Tb: 0.000 0.000 0.233
Pa: 0.500 0.500 0.000
Th: 0.500 0.500 0.500

Calculated values
Offset from the most stable computed form, eV per formula unit: 0.00
ΔH_f (0 K), eV/atom: 0.1718
Crystal system: tetragonal
Magnetization, μB per formula unit: 0.00

---

# 2
First-principles (PBE) data for an optimized crystal structure of YCoHg, as listed in the Alexandria database.

Cell: 3.851 3.935 8.473 Å, 103.43 90.00 90.00°
Each line ends with the local moment (μB).
Fractional positions:
Y: 0.250 0.904 0.809  -0.11
Y: 0.750 0.096 0.191  -0.11
Hg: 0.750 0.299 0.598  -0.01
Hg: 0.250 0.701 0.402  -0.01
Co: 0.250 0.534 0.068  0.78
Co: 0.750 0.466 0.932  0.78

Calculated values
ΔH_f (0 K), eV/atom: -0.3314
Crystal system: orthorhombic
Magnetization, μB per formula unit: 0.55

---

# 3
First-principles (PBE) data for an optimized crystal structure of LaZnCu2, as listed in the Alexandria database.

Cell: 4.447 4.623 6.082 Å, 40.33 90.00 90.00°
Fractional positions:
Cu: 0.000 0.000 0.000
Cu: 0.500 0.500 0.000
La: 0.500 0.500 0.500
Zn: 0.000 0.000 0.500

Calculated values
ΔH_f (0 K), eV/atom: 0.0786
Crystal system: monoclinic
Magnetization, μB per formula unit: 0.00

---

# 4
First-principles (PBE) data for an optimized crystal structure of Er4SiCl5, as listed in the Alexandria database.

Cell: 3.902 8.026 8.908 Å, 102.62 102.65 90.00°
Fractional positions:
Cl: 0.167 0.324 0.333
Cl: 0.500 0.500 0.000
Cl: 0.174 0.852 0.348
Cl: 0.833 0.676 0.667
Cl: 0.826 0.148 0.652
Si: 0.500 0.000 0.000
Er: 0.001 0.230 0.001
Er: 0.346 0.915 0.692
Er: 0.654 0.085 0.308
Er: 0.999 0.770 0.999

Calculated values
Crystal system: monoclinic
Magnetization, μB per formula unit: 0.00
Formation energy from raw total energies, eV/f.u.: -16.524

---

# 5
First-principles (PBE) data for an optimized crystal structure of BeSi2Ru2, as listed in the Alexandria database.

Cell: 6.698 6.698 2.941 Å, 90.00 90.00 90.00°
Fractional positions:
Ru: 0.654 0.154 0.000
Ru: 0.846 0.654 0.000
Ru: 0.154 0.346 0.000
Ru: 0.346 0.846 0.000
Si: 0.145 0.645 0.500
Si: 0.855 0.355 0.500
Si: 0.645 0.855 0.500
Si: 0.355 0.145 0.500
Be: 0.500 0.500 0.000
Be: 0.000 0.000 0.000

Calculated values
Offset from the most stable computed form, eV per formula unit: 0.00
Crystal system: tetragonal
Magnetization, μB per formula unit: 0.00
Formation energy from raw total energies, eV/f.u.: -1.688

---

# 6
First-principles (PBE) data for an optimized crystal structure of BaAg4Pb4, as listed in the Alexandria database.

Cell: 5.807 9.642 9.642 Å, 90.00 90.00 90.00°
Fractional positions:
Ba: 0.000 0.000 0.000
Ba: 0.500 0.500 0.500
Pb: 0.111 0.882 0.360
Pb: 0.389 0.382 0.860
Pb: 0.889 0.360 0.118
Pb: 0.389 0.618 0.140
Pb: 0.611 0.140 0.382
Pb: 0.111 0.118 0.640
Pb: 0.889 0.640 0.882
Pb: 0.611 0.860 0.618
Ag: 0.396 0.710 0.858
Ag: 0.104 0.790 0.642
Ag: 0.104 0.210 0.358
Ag: 0.604 0.142 0.710
Ag: 0.604 0.858 0.290
Ag: 0.896 0.642 0.210
Ag: 0.396 0.290 0.142
Ag: 0.896 0.358 0.790

Calculated values
ΔH_f (0 K), eV/atom: -0.0312
Crystal system: tetragonal
Magnetization, μB per formula unit: 0.00

---

# 7
First-principles (PBE) data for an optimized crystal structure of Zr3HgC, as listed in the Alexandria database.

Cell: 13.622 8.373 8.373 Å, 108.99 136.42 43.58°
Fractional positions:
Zr: 0.577 0.920 0.761
Zr: 0.077 0.420 0.261
Zr: 0.077 0.739 0.580
Zr: 0.583 0.581 0.419
Zr: 0.083 0.081 0.919
Zr: 0.917 0.919 0.081
Zr: 0.577 0.239 0.080
Zr: 0.423 0.080 0.239
Zr: 0.423 0.761 0.920
Zr: 0.417 0.419 0.581
Zr: 0.923 0.580 0.739
Zr: 0.923 0.261 0.420
Hg: 0.750 0.412 0.912
Hg: 0.250 0.588 0.088
Hg: 0.250 0.911 0.411
Hg: 0.750 0.089 0.589
C: 0.326 0.330 0.670
C: 0.174 0.170 0.830
C: 0.826 0.830 0.170
C: 0.674 0.670 0.330

Calculated values
Offset from the most stable computed form, eV per formula unit: 1.54
ΔH_f (0 K), eV/atom: -0.1954
Crystal system: monoclinic
Magnetization, μB per formula unit: 0.00

---

# 8
First-principles (PBE) data for an optimized crystal structure of BaMnCr2, as listed in the Alexandria database.

Cell: 4.327 4.327 6.596 Å, 70.89 70.89 60.02°
Each line ends with the local moment (μB).
Fractional positions:
Ba: 0.250 0.250 0.250  0.04
Cr: 0.753 0.753 0.742  -2.94
Cr: 0.052 0.052 0.845  3.21
Mn: 0.446 0.446 0.663  3.36

Calculated values
Offset from the most stable computed form, eV per formula unit: 0.00
ΔH_f (0 K), eV/atom: 0.6137
Crystal system: trigonal
Magnetization, μB per formula unit: 3.91